Compound: CaY2Fe4O8
Source: the Alexandria database
Functional: GGA+U
Structure: optimized geometry

Summary:
- Uncorrected energy: -7.281 eV per atom
- Spin magnetization: 15.987 μB/cell

The structure in POSCAR format:
```
CaY2Fe4O8
1.0
2.530 -5.312 -2.272
5.043 -2.513 2.835
-0.089 -6.550 3.633
Ca Y Fe O
1 2 4 8
Cartesian
3.742 -7.188 2.098 Ca
2.111 -2.320 0.233 Y
5.374 -12.055 3.963 Y
1.221 -5.931 0.681 Fe
0.000 0.000 0.000 Fe
2.477 -4.531 3.234 Fe
-0.044 -3.275 1.817 Fe
3.941 -7.809 4.434 O
5.817 -7.753 1.387 O
4.879 -5.079 2.476 O
5.692 -10.226 2.804 O
1.667 -6.622 2.809 O
3.543 -6.566 -0.238 O
2.606 -9.296 1.720 O
1.792 -4.149 1.392 O
```